A relaxed structure of YEr2Al9. Source: Alexandria via LeMat-Bulk, functional GGA-PBEsol.

Values from the calculation:
- DFT formation energy (meV per atom) = -441
- VASP energy (eV per atom) = -4.900
- volume (Å³/cell) = 892.84
- space-group type = P-6m2, No. 187
- crystal system = hexagonal
- density (g/cm³) = 4.96

a = 6.0257 Å, b = 6.0257 Å, c = 28.3941 Å
α = 90.00°, β = 90.00°, γ = 120.00°
Atoms (fractional coordinates):
Y (0.0000, 0.0000, 0.0000)
Y (0.0000, 0.0000, 0.3330)
Y (0.0000, 0.0000, 0.6670)
Y (0.3333, 0.6667, 0.5000)
Er (0.3333, 0.6667, 0.1666)
Er (0.3333, 0.6667, 0.8334)
Er (0.6667, 0.3333, 0.0833)
Er (0.6667, 0.3333, 0.2499)
Er (0.6667, 0.3333, 0.4166)
Er (0.6667, 0.3333, 0.5834)
Er (0.6667, 0.3333, 0.7501)
Er (0.6667, 0.3333, 0.9167)
Al (0.0285, 0.5142, 0.3332)
Al (0.0285, 0.5142, 0.6668)
Al (0.0285, 0.5143, 0.0000)
Al (0.1666, 0.3331, 0.4166)
Al (0.1666, 0.3331, 0.5834)
Al (0.1670, 0.3340, 0.0836)
Al (0.1672, 0.3343, 0.2496)
Al (0.1672, 0.3343, 0.7504)
Al (0.1670, 0.3340, 0.9164)
Al (0.1670, 0.8330, 0.0836)
Al (0.1672, 0.8328, 0.2496)
Al (0.1666, 0.8334, 0.4166)
Al (0.1666, 0.8334, 0.5834)
Al (0.1672, 0.8328, 0.7504)
Al (0.1670, 0.8330, 0.9164)
Al (0.3049, 0.1525, 0.5000)
Al (0.3051, 0.1525, 0.1666)
Al (0.3051, 0.1525, 0.8334)
Al (0.4857, 0.5143, 0.0000)
Al (0.4858, 0.5142, 0.3332)
Al (0.4858, 0.5142, 0.6668)
Al (0.4857, 0.9715, 0.0000)
Al (0.4858, 0.9715, 0.3332)
Al (0.4858, 0.9715, 0.6668)
Al (0.6660, 0.8330, 0.0836)
Al (0.6657, 0.8328, 0.2496)
Al (0.6657, 0.8328, 0.7504)
Al (0.6660, 0.8330, 0.9164)
Al (0.6669, 0.8334, 0.4166)
Al (0.6669, 0.8334, 0.5834)
Al (0.8475, 0.1525, 0.1666)
Al (0.8475, 0.1525, 0.8334)
Al (0.8475, 0.6949, 0.1666)
Al (0.8475, 0.6949, 0.8334)
Al (0.8475, 0.1525, 0.5000)
Al (0.8475, 0.6951, 0.5000)

---

A relaxed structure of Ti4H7. Source: Alexandria via LeMat-Bulk, functional GGA-PBEsol.

Values from the calculation:
- VASP energy (eV per atom) = -5.653
- volume (Å³/cell) = 81.49
- space-group type = P-43m, No. 215
- crystal system = cubic
- density (g/cm³) = 4.05

a = 4.3355 Å, b = 4.3355 Å, c = 4.3355 Å
α = 90.00°, β = 90.00°, γ = 90.00°
Atoms (fractional coordinates):
Ti (0.2457, 0.2457, 0.7543)
Ti (0.2457, 0.7543, 0.2457)
Ti (0.7543, 0.2457, 0.2457)
Ti (0.7543, 0.7543, 0.7543)
H (0.0000, 0.0000, 0.5000)
H (0.0000, 0.5000, 0.0000)
H (0.0000, 0.5000, 0.5000)
H (0.5000, 0.0000, 0.0000)
H (0.5000, 0.0000, 0.5000)
H (0.5000, 0.5000, 0.0000)
H (0.5000, 0.5000, 0.5000)